RbNbBr3, optimized geometry, DFT PBE-GGA; space-group type = R-3c; E above lowest polymorph = 239.6 meV/atom; mass density = 3473 kg/m3
1.0
4.317 2.492 6.194
-4.317 2.492 6.194
0.000 -4.984 6.194
Rb Nb Br
2 2 6
Direct
0.000 0.000 0.000
0.500 0.500 0.500
0.250 0.250 0.250
0.750 0.750 0.750
0.044 0.750 0.456
0.250 0.544 0.956
0.456 0.044 0.750
0.544 0.956 0.250
0.750 0.456 0.044
0.956 0.250 0.544